(1)
{
  "formula": "Lu11Ni60C6",
  "functional": "PBE",
  "state": "optimized geometry",
  "e_form_ev_per_fu": -22.53,
  "spacegroup": "Im-3m",
  "crystal_system": "cubic",
  "magmom_total_mub_per_cell": 2.5,
  "cell": [[10.7097, 0.0000, 0.0000], [-3.5699, 10.0972, 0.0000], [-3.5699, -5.0486, 8.7444]],
  "species": ["Ni", "Ni", "Ni", "Ni", "Ni", "Ni", "Ni", "Ni", "Ni", "Ni", "Ni", "Ni", "Ni", "Ni", "Ni", "Ni", "Ni", "Ni", "Ni", "Ni", "Ni", "Ni", "Ni", "Ni", "Ni", "Ni", "Ni", "Ni", "Ni", "Ni", "Ni", "Ni", "Ni", "Ni", "Ni", "Ni", "Ni", "Ni", "Ni", "Ni", "Ni", "Ni", "Ni", "Ni", "Ni", "Ni", "Ni", "Ni", "Ni", "Ni", "Ni", "Ni", "Ni", "Ni", "Ni", "Ni", "Ni", "Ni", "Ni", "Ni", "C", "C", "C", "C", "C", "C", "Lu", "Lu", "Lu", "Lu", "Lu", "Lu", "Lu", "Lu", "Lu", "Lu", "Lu"],
  "frac_coords": [[0.2326, 0.2326, 0.6520], [0.8515, 0.6825, 0.5340], [0.4660, 0.1485, 0.3175], [0.8310, 0.6825, 0.1485], [0.8561, 0.0000, 0.8561], [0.5000, 0.7500, 0.2500], [0.8515, 0.5340, 0.6825], [0.0000, 0.7674, 0.4194], [0.1439, 0.1439, 0.0000], [0.7674, 0.7674, 0.3480], [0.0000, 0.5806, 0.2326], [0.5340, 0.6825, 0.8515], [0.2326, 0.0000, 0.5806], [0.6825, 0.8310, 0.1485], [0.1485, 0.4660, 0.3175], [0.8515, 0.1690, 0.3175], [0.4194, 0.6520, 0.4194], [0.4194, 0.4194, 0.6520], [0.5340, 0.8515, 0.6825], [0.5806, 0.2326, 0.0000], [0.3175, 0.1485, 0.4660], [0.7500, 0.2500, 0.5000], [0.1690, 0.3175, 0.8515], [0.2500, 0.7500, 0.5000], [0.8310, 0.1485, 0.6825], [0.1690, 0.8515, 0.3175], [0.7674, 0.0000, 0.4194], [0.3175, 0.4660, 0.1485], [0.7674, 0.4194, 0.0000], [0.3175, 0.1690, 0.8515], [0.8515, 0.3175, 0.1690], [0.1485, 0.3175, 0.4660], [0.5000, 0.2500, 0.7500], [0.3480, 0.7674, 0.7674], [0.0000, 0.2326, 0.5806], [0.6825, 0.1485, 0.8310], [0.2326, 0.6520, 0.2326], [0.2326, 0.5806, 0.0000], [0.7674, 0.3480, 0.7674], [0.3175, 0.8515, 0.1690], [0.0000, 0.1439, 0.1439], [0.4194, 0.0000, 0.7674], [0.8561, 0.8561, 0.0000], [0.1485, 0.6825, 0.8310], [0.1485, 0.8310, 0.6825], [0.6825, 0.5340, 0.8515], [0.6520, 0.2326, 0.2326], [0.2500, 0.5000, 0.7500], [0.4194, 0.7674, 0.0000], [0.7500, 0.5000, 0.2500], [0.4660, 0.3175, 0.1485], [0.5806, 0.3480, 0.5806], [0.0000, 0.4194, 0.7674], [0.6520, 0.4194, 0.4194], [0.5806, 0.0000, 0.2326], [0.5806, 0.5806, 0.3480], [0.3480, 0.5806, 0.5806], [0.1439, 0.0000, 0.1439], [0.0000, 0.8561, 0.8561], [0.6825, 0.8515, 0.5340], [0.7071, 0.7071, 0.0000], [0.7071, 0.0000, 0.7071], [0.2929, 0.0000, 0.2929], [0.0000, 0.2929, 0.2929], [0.0000, 0.7071, 0.7071], [0.2929, 0.2929, 0.0000], [0.0000, 0.0000, 0.3382], [0.0000, 0.0000, 0.6618], [0.5000, 0.0000, 0.5000], [0.0000, 0.5000, 0.5000], [0.6618, 0.6618, 0.6618], [0.6618, 0.0000, 0.0000], [0.0000, 0.6618, 0.0000], [0.0000, 0.3382, 0.0000], [0.5000, 0.5000, 0.0000], [0.3382, 0.3382, 0.3382], [0.3382, 0.0000, 0.0000]]
}

(2)
{
  "formula": "CsBS2",
  "functional": "PBE",
  "state": "optimized geometry",
  "e_above_lowest_polymorph_ev_per_atom": 0.0568,
  "raw_formation_energy_mev_per_atom": -831,
  "spacegroup": "P-1",
  "crystal_system": "triclinic",
  "magmom_total_mub_per_cell": 0.0,
  "cell": [[6.2012, -0.0126, -0.0312], [-2.9353, 5.3029, 0.0002], [-1.2749, 2.7456, 9.8988]],
  "species": ["S", "S", "S", "S", "Cs", "Cs", "B", "B"],
  "frac_coords": [[0.7315, 0.7237, 0.1831], [0.4787, 0.2348, 0.9108], [0.2264, 0.8800, 0.6858], [0.9735, 0.3911, 0.4133], [0.6008, 0.6847, 0.5477], [0.1040, 0.4301, 0.0485], [0.8525, 0.5574, 0.2982], [0.3525, 0.0575, 0.7982]]
}

(3)
{
  "formula": "Nd2SmTh",
  "functional": "PBE",
  "state": "optimized geometry",
  "e_above_lowest_polymorph_ev_per_atom": 0.0329,
  "e_form_ev_per_fu": 0.24,
  "spacegroup": "P4/mmm",
  "crystal_system": "tetragonal",
  "magmom_total_mub_per_cell": 0.0,
  "cell": [[5.1471, 0.0000, 0.0000], [0.0000, 5.1382, 0.0000], [0.0000, 0.0000, 5.1382]],
  "species": ["Th", "Sm", "Nd", "Nd"],
  "frac_coords": [[0.5000, 0.5000, 0.5000], [0.5000, 0.0000, 0.0000], [0.0000, 0.0000, 0.5000], [0.0000, 0.5000, 0.0000]]
}

(4)
{
  "formula": "Al2Fe2Si",
  "functional": "PBE",
  "state": "optimized geometry",
  "e_above_lowest_polymorph_ev_per_atom": 0.5737,
  "raw_formation_energy_mev_per_atom": 254,
  "spacegroup": "I4/mmm",
  "crystal_system": "tetragonal",
  "magmom_total_mub_per_cell": 4.3,
  "cell": [[3.4138, 0.0000, 0.0000], [0.0000, 3.4138, 0.0000], [1.7069, 1.7069, 6.3874]],
  "species": ["Fe", "Fe", "Al", "Al", "Si"],
  "frac_coords": [[0.2500, 0.7500, 0.5000], [0.7500, 0.2500, 0.5000], [0.3966, 0.3966, 0.2067], [0.6034, 0.6034, 0.7933], [0.0000, 0.0000, 0.0000]]
}